--- A ---
This record from OQMD describes a relaxed structure of ZnPbSO. The functional is PBE.

Properties
symmetry: Pnma
mass density: 6706 kg/m³

Cell lengths 5.927, 3.854, 13.908 Å; angles 90.00, 90.00, 90.00 degrees
Fractional positions:
Zn1 0.142 0.250 0.191
Zn2 0.358 0.750 0.691
Zn3 0.642 0.250 0.309
Zn4 0.858 0.750 0.809
Pb1 0.238 0.750 0.415
Pb2 0.262 0.250 0.915
Pb3 0.738 0.750 0.085
Pb4 0.762 0.250 0.585
S1 0.236 0.750 0.101
S2 0.264 0.250 0.601
S3 0.736 0.750 0.399
S4 0.764 0.250 0.899
O1 0.200 0.750 0.815
O2 0.300 0.250 0.315
O3 0.700 0.750 0.685
O4 0.800 0.250 0.185

***

--- B ---
This record from OQMD describes a relaxed structure of ZnPbSO. The functional is PBE.

Properties
symmetry: P4/nmm
mass density: 6797 kg/m³

Cell lengths 4.600, 4.600, 7.405 Å; angles 90.00, 90.00, 90.00 degrees
Fractional positions:
Zn1 0.250 0.250 0.119
Zn2 0.750 0.750 0.881
Pb1 0.250 0.250 0.670
Pb2 0.750 0.750 0.330
S1 0.250 0.750 0.000
S2 0.750 0.250 0.000
O1 0.250 0.250 0.379
O2 0.750 0.750 0.621

***

A is the most stable structure; the next one sits 0.320 eV/atom above it.